Computed, not measured: an optimized crystal structure of CdGaF4 at the PBE level of DFT.

Calculated values
* uncorrected formation energy: -12.747 eV per formula unit
* calculated volume: 15.66 Å³ per atom

Unit cell a=4.7498 b=3.0494 c=6.6625 alpha=90.00 beta=103.10 gamma=90.00
Closest atoms and distances in Å follow each position.
Space group P2/m (No. 10)
Inequivalent atoms, fractional coordinates:
Cd (0.0000, 0.0000, 0.0000) [1 per cell]  6 F 2.60-2.70
Ga (0.0000, 0.5000, 0.5000) [1 per cell]  6 F 1.87-1.99
F (0.2118, 0.0000, 0.4122) [2 per cell]  2 Ga 1.99
F (0.2350, 0.5000, 0.7672) [2 per cell]  1 Ga 1.87